The following is a DFT calculation (GGA-PBE) of a geometry-optimized Lu4CoSn2 structure.

Properties
energy relative to the elements	-0.3843	eV/atom
E_tot	-5.13	eV per atom
magnetization	0.0	μB/cell

Unit cell a=8.6704 b=8.6704 c=8.6704 alpha=147.73 beta=147.73 gamma=46.28
Last column: nearest neighbours and their distance in Å.
Fractional coordinates of all 7 atoms:
Lu: 0.0000 0.5000 0.5000  2 Co 2.41
Lu: 0.1709 0.1709 0.0000  1 Co 2.72, 1 Sn 3.04
Lu: 0.5000 0.0000 0.5000  2 Co 2.41
Lu: 0.8291 0.8291 0.0000  1 Co 2.72, 1 Sn 3.04
Co: 0.0000 0.0000 0.0000  4 Lu 2.41
Sn: 0.3612 0.3612 0.0000  5 Lu 3.04-3.27
Sn: 0.6388 0.6388 0.0000  5 Lu 3.04-3.27

***

The following is a DFT calculation (GGA-PBE) of a geometry-optimized CsCaBiI2 structure.

Properties
formation energy from raw total energies	-0.890	eV/atom
E_tot	-2.86	eV per atom
magnetization	2.0	μB/cell

Unit cell a=6.2726 b=6.2726 c=6.4209 alpha=90.00 beta=90.00 gamma=90.00
Last column: nearest neighbours and their distance in Å.
Fractional coordinates of all 5 atoms:
Cs: 0.0000 0.0000 0.0000  4 Bi 4.44, 8 I 4.49
Ca: 0.5000 0.5000 0.5000  4 I 3.14, 2 Bi 3.21
Bi: 0.5000 0.5000 0.0000  2 Ca 3.21
I: 0.0000 0.5000 0.5000  2 Ca 3.14
I: 0.5000 0.0000 0.5000  2 Ca 3.14

***

The following is a DFT calculation (GGA-PBE) of a geometry-optimized YNiTe2 structure.

Properties
formation energy from raw total energies	-0.317	eV/atom
E_tot	-4.95	eV per atom
magnetization	0.2	μB/cell

Unit cell a=3.6892 b=3.6892 c=6.8465 alpha=90.00 beta=90.00 gamma=90.00
Last column: nearest neighbours and their distance in Å.
Fractional coordinates of all 4 atoms:
Y: 0.0000 0.0000 0.0000  8 Te 3.18, 2 Ni 3.42
Ni: 0.0000 0.0000 0.5000  8 Te 3.06, 2 Y 3.42
Te: 0.5000 0.5000 0.2653  4 Ni 3.06, 4 Y 3.18, 1 Te 3.21
Te: 0.5000 0.5000 0.7347  4 Ni 3.06, 4 Y 3.18, 1 Te 3.21

***

The following is a DFT calculation (GGA-PBE) of a geometry-optimized Nd2MnReN5 structure.

Properties
formation energy from raw total energies	-0.673	eV/atom
E_tot	-8.76	eV per atom
magnetization	5.0	μB/cell

Unit cell a=7.4040 b=7.4040 c=9.6330 alpha=90.00 beta=90.00 gamma=154.18
Last column: nearest neighbours and their distance in Å.
Fractional coordinates of all 18 atoms:
Nd: 0.1187 0.8813 0.5000  8 N 2.50-2.77
Nd: 0.1352 0.8648 0.8741  8 N 2.46-2.63
Nd: 0.8648 0.1352 0.3741  8 N 2.46-2.63
Nd: 0.8813 0.1187 0.0000  8 N 2.50-2.77
Mn: 0.2174 0.7826 0.1892  3 N 1.86-2.07
Mn: 0.7826 0.2174 0.6892  3 N 1.86-2.07
Re: 0.4268 0.5732 0.6720  4 N 1.86-2.07
Re: 0.5732 0.4268 0.1720  4 N 1.86-2.07
N: 0.0251 0.9749 0.2490  2 Re 1.94
N: 0.3030 0.6970 0.5639  1 Re 2.07, 2 Mn 2.07
N: 0.3120 0.6880 0.8223  2 Mn 2.14, 1 Re 2.20
N: 0.3460 0.6540 0.1879  1 Mn 1.86
N: 0.4806 0.5194 0.4967  1 Re 1.86
N: 0.5194 0.4806 0.9967  1 Re 1.86
N: 0.6540 0.3460 0.6879  1 Mn 1.86
N: 0.6880 0.3120 0.3223  2 Mn 2.14, 1 Re 2.20
N: 0.6970 0.3030 0.0639  1 Re 2.07, 2 Mn 2.07
N: 0.9749 0.0251 0.7490  2 Re 1.94

***

The following is a DFT calculation (GGA-PBE) of a geometry-optimized La2NbSO structure.

Properties
formation energy from raw total energies	-0.311	eV/atom
E_tot	-6.11	eV per atom
magnetization	1.4	μB/cell

Unit cell a=5.5264 b=5.5264 c=4.4574 alpha=90.00 beta=90.00 gamma=90.00
Last column: nearest neighbours and their distance in Å.
Fractional coordinates of all 5 atoms:
La: 0.0000 0.5000 0.0000  2 S 2.76
La: 0.5000 0.0000 0.0000  2 S 2.76
Nb: 0.0000 0.0000 0.5000  2 S 2.23
S: 0.0000 0.0000 0.0000  2 Nb 2.23
O: 0.5000 0.5000 0.5000  8 La 3.55, 4 Nb 3.91

***

The following is a DFT calculation (GGA-PBE) of a geometry-optimized Sr2TePRh structure.

Properties
formation energy from raw total energies	-0.955	eV/atom
E_tot	-4.81	eV per atom
magnetization	0.0	μB/cell

Unit cell a=5.9119 b=5.9119 c=4.3611 alpha=90.00 beta=90.00 gamma=90.00
Last column: nearest neighbours and their distance in Å.
Fractional coordinates of all 5 atoms:
Sr: 0.0000 0.5000 0.0000  2 Rh 2.96
Sr: 0.5000 0.0000 0.0000  2 Rh 2.96
Te: 0.0000 0.0000 0.5000  8 Sr 3.67
P: 0.5000 0.5000 0.5000  2 Rh 2.18
Rh: 0.5000 0.5000 0.0000  2 P 2.18

***

The following is a DFT calculation (GGA-PBE) of a geometry-optimized CoCuPW2 structure.

Properties
energy relative to the elements	0.8293	eV/atom
E_tot	-7.67	eV per atom
magnetization	0.7	μB/cell

Unit cell a=4.4560 b=4.4560 c=4.0176 alpha=90.00 beta=90.00 gamma=90.00
Last column: nearest neighbours and their distance in Å.
Fractional coordinates of all 5 atoms:
Co: 0.0000 0.0000 0.0000  2 P 2.01
Cu: 0.5000 0.5000 0.0000  8 W 3.00, 4 Co 3.15
P: 0.0000 0.0000 0.5000  2 Co 2.01, 4 W 2.23
W: 0.0000 0.5000 0.5000  2 P 2.23
W: 0.5000 0.0000 0.5000  2 P 2.23

***

The following is a DFT calculation (GGA-PBE) of a geometry-optimized AcTmPuTl structure.

Properties
energy relative to the elements	0.1704	eV/atom
E_tot	-6.15	eV per atom
magnetization	7.1	μB/cell

Unit cell a=5.5790 b=5.5790 c=5.5790 alpha=60.00 beta=60.00 gamma=60.00
Last column: nearest neighbours and their distance in Å.
Fractional coordinates of all 4 atoms:
Ac: 0.0000 0.0000 0.0000  4 Pu 3.42, 4 Tm 3.42
Tm: 0.2500 0.2500 0.2500  4 Tl 3.42, 4 Ac 3.42
Pu: 0.7500 0.7500 0.7500  4 Tl 3.42, 4 Ac 3.42
Tl: 0.5000 0.5000 0.5000  4 Tm 3.42, 4 Pu 3.42

***

The following is a DFT calculation (GGA-PBE) of a geometry-optimized CsLi2OsBr8 structure.

Properties
formation energy from raw total energies	-0.851	eV/atom
E_tot	-3.29	eV per atom
magnetization	2.9	μB/cell

Unit cell a=6.5927 b=7.4642 c=8.6482 alpha=74.99 beta=83.81 gamma=85.78
Last column: nearest neighbours and their distance in Å.
Fractional coordinates of all 12 atoms:
Cs: 0.0000 0.0000 0.0000  10 Br 3.80-4.12
Li: 0.4764 0.4841 0.8321  4 Br 2.47-2.69
Li: 0.5236 0.5159 0.1679  4 Br 2.47-2.69
Os: 0.0000 0.5000 0.5000  6 Br 2.45-2.51
Br: 0.0820 0.5166 0.7729  1 Os 2.51, 1 Li 2.69
Br: 0.2006 0.2053 0.5262  1 Os 2.45
Br: 0.3076 0.6786 0.3728  1 Os 2.50, 1 Li 2.64
Br: 0.4808 0.2298 0.0842  2 Li 2.47-2.49
Br: 0.5192 0.7702 0.9158  2 Li 2.47-2.49
Br: 0.6924 0.3214 0.6272  1 Os 2.50, 1 Li 2.64
Br: 0.7994 0.7947 0.4738  1 Os 2.45
Br: 0.9180 0.4834 0.2271  1 Os 2.51, 1 Li 2.69

***

The following is a DFT calculation (GGA-PBE) of a geometry-optimized SmPaI2 structure.

Properties
formation energy from raw total energies	-0.322	eV/atom
E_tot	-4.65	eV per atom
magnetization	2.4	μB/cell

Unit cell a=11.1797 b=11.1797 c=11.1797 alpha=19.22 beta=19.22 gamma=19.22
Last column: nearest neighbours and their distance in Å.
Fractional coordinates of all 4 atoms:
Sm: 0.0000 0.0000 0.0000  6 I 3.17
Pa: 0.5000 0.5000 0.5000  2 I 3.16
I: 0.4039 0.4039 0.4039  1 Pa 3.16, 3 Sm 3.17
I: 0.5961 0.5961 0.5961  1 Pa 3.16, 3 Sm 3.17

***

The following is a DFT calculation (GGA-PBE) of a geometry-optimized GaFe8 structure.

Properties
energy relative to the elements	-0.0299	eV/atom
E_tot	-7.89	eV per atom
magnetization	18.0	μB/cell

Unit cell a=6.2280 b=6.2280 c=6.2280 alpha=93.06 beta=93.06 gamma=153.27
Last column: nearest neighbours and their distance in Å.
Fractional coordinates of all 9 atoms:
Ga: 0.0000 0.0000 0.0000  8 Fe 2.52
Fe: 0.0000 0.3339 0.3339  8 Fe 2.48
Fe: 0.0000 0.6661 0.6661  8 Fe 2.48
Fe: 0.3292 0.3292 0.6585  6 Fe 2.40-2.48, 2 Ga 2.52
Fe: 0.3292 0.6708 0.0000  6 Fe 2.40-2.48, 2 Ga 2.52
Fe: 0.3339 0.0000 0.3339  8 Fe 2.48
Fe: 0.6661 0.0000 0.6661  8 Fe 2.48
Fe: 0.6708 0.3292 0.0000  6 Fe 2.40-2.48, 2 Ga 2.52
Fe: 0.6708 0.6708 0.3415  6 Fe 2.40-2.48, 2 Ga 2.52

***

The following is a DFT calculation (GGA-PBE) of a geometry-optimized YSi2Pd5 structure.

Properties
formation energy from raw total energies	-0.779	eV/atom
E_tot	-6.19	eV per atom
magnetization	0.0	μB/cell

Unit cell a=6.3294 b=6.3294 c=6.3294 alpha=144.43 beta=112.02 gamma=79.15
Last column: nearest neighbours and their distance in Å.
Fractional coordinates of all 8 atoms:
Y: 0.0000 0.0000 0.0000  4 Si 3.14, 8 Pd 3.23
Si: 0.2540 0.7540 0.5000  7 Pd 2.37-2.57
Si: 0.7460 0.2460 0.5000  7 Pd 2.37-2.57
Pd: 0.1521 0.3506 0.8015  3 Si 2.37-2.57
Pd: 0.4509 0.6494 0.8015  3 Si 2.37-2.57
Pd: 0.5000 0.0000 0.5000  2 Si 2.40
Pd: 0.5491 0.3506 0.1985  3 Si 2.37-2.57
Pd: 0.8479 0.6494 0.1985  3 Si 2.37-2.57

***

magnetization of number 9 (CsLi2OsBr8)?
2.9 μB/cell

***

Look up the E_tot of the fifth one.
-6.11 eV per atom